This record from Alexandria via LeMat-Bulk describes a relaxed ReAs2C crystal. The functional is GGA-PBE.

Results
Energy of formation from the pure elements in meV/atom: 933
Space group: I-42d

abc: 5.4180 5.4180 8.7746
angles: 90.00 90.00 90.00
Last column: nearest neighbours and their distance in Å.
Fractional positions:
Re  0.0000  0.0000  0.0000  4 As 2.43
Re  0.0000  0.5000  0.2500  4 As 2.43
Re  0.5000  0.0000  0.7500  4 As 2.43
Re  0.5000  0.5000  0.5000  4 As 2.43
As  0.1869  0.2500  0.6250  2 C 2.02
As  0.2500  0.6869  0.8750  2 C 2.02
As  0.2500  0.8131  0.3750  2 C 2.02
As  0.3131  0.2500  0.1250  2 C 2.02
As  0.6869  0.7500  0.1250  2 C 2.02
As  0.7500  0.1869  0.3750  2 C 2.02
As  0.7500  0.3131  0.8750  2 C 2.02
As  0.8131  0.7500  0.6250  2 C 2.02
C  0.0000  0.0000  0.5000  4 As 2.02
C  0.0000  0.5000  0.7500  4 As 2.02
C  0.5000  0.0000  0.2500  4 As 2.02
C  0.5000  0.5000  0.0000  4 As 2.02